Entry w
Ca2SbTe | GGA-PBE | optimized geometry

The structure belongs to space group Pmmm (No. 47); the cell edges are 4.025, 4.971 and 6.456 Å and the angles 90.00°, 90.00° and 90.00°. The inequivalent atoms are Ca at (0.000, 0.000, 0.000), Ca at (0.500, 0.500, 0.500), Sb at (0.000, 0.000, 0.500) and Te at (0.500, 0.500, 0.000).

Its mass density is 4.24 g/cm3.

***

Entry x
Ca2SbTe | GGA-PBE | optimized geometry

The structure belongs to space group C2/m (No. 12); the cell edges are 7.482, 4.332 and 8.414 Å and the angles 90.00°, 107.32° and 90.00°. The inequivalent atoms are Ca at (0.246, 0.000, 0.238), Sb at (0.000, 0.000, 0.500) and Te at (0.000, 0.500, 0.000).

Its mass density is 4.20 g/cm3.

***

Entry y
Ca2SbTe | GGA-PBE | optimized geometry

The structure belongs to space group F-43m (No. 216); the cell edges are 7.827, 7.827 and 7.827 Å and the angles 90.00°, 90.00° and 90.00°. The inequivalent atoms are Ca at (0.000, 0.000, 0.000), Ca at (0.250, 0.250, 0.250), Sb at (0.000, 0.000, 0.500) and Te at (0.250, 0.250, 0.750).

Its mass density is 4.56 g/cm3.

***

Entry z
Ca2SbTe | GGA-PBE | optimized geometry

The structure belongs to space group Pmmm (No. 47); the cell edges are 3.819, 3.833 and 8.119 Å and the angles 90.00°, 90.00° and 90.00°. The inequivalent atoms are Ca at (0.000, 0.000, 0.240), Sb at (0.500, 0.500, 0.500) and Te at (0.500, 0.500, 0.000).

Its mass density is 4.60 g/cm3.

***

Most stable to least stable, the ends of the list are entry x and entry y.

***

Entry w
Ca3SbTe4 | GGA-PBE | optimized geometry

The structure belongs to space group Pmmn (No. 59, origin choice 2); the cell edges are 6.518, 10.426 and 9.541 Å and the angles 90.00°, 90.00° and 90.00°. The inequivalent atoms are Ca at (0.250, 0.004, 0.167), Ca at (0.250, 0.750, 0.650), Sb at (0.250, 0.250, 0.680), Te at (0.250, 0.250, 0.352), Te at (0.250, 0.502, 0.838) and Te at (0.250, 0.750, 0.328).

Its mass density is 3.85 g/cm3.

***

Entry x
Ca3SbTe4 | GGA-PBE | optimized geometry

The structure belongs to space group P-3m1 (No. 164); the cell edges are 4.5991, 4.5991 and 14.6494 Å and the angles 90.00°, 90.00° and 120.00°. The inequivalent atoms are Ca at (0.0000, 0.0000, 0.0000), Ca at (0.0000, 0.0000, 0.2574), Sb at (0.0000, 0.0000, 0.5000), Te at (0.3333, 0.6667, 0.3848) and Te at (0.3333, 0.6667, 0.8712).

Its mass density is 4.66 g/cm3.

***

Most stable to least stable, the ends of the list are entry x and entry w.